[1]
# Pr5YPb5

A relaxed Pr5YPb5 crystal (GGA-PBE, Alexandria via LeMat-Bulk).

a b c (Å): 8.0988 8.0988 8.7168
angles (deg): 105.93 105.93 46.90
Last column: nearest neighbours and their distance in Å.
Atoms (fractional coordinates):
Pr1 0.0000 0.0000 0.0000  4 Pb 3.19-3.21
Pr2 0.3307 0.3307 0.1668  5 Pb 3.22-3.25
Pr3 0.3359 0.3359 0.6727  5 Pb 3.22-3.26
Pr4 0.6641 0.6641 0.3273  5 Pb 3.22-3.26
Pr5 0.6693 0.6693 0.8332  5 Pb 3.22-3.25
Y1 0.0000 0.0000 0.5000  6 Pb 3.16-3.22
Pb1 0.1629 0.1629 0.8303  1 Y 3.16, 5 Pr 3.19-3.26
Pb2 0.1640 0.1640 0.3373  1 Y 3.16, 5 Pr 3.21-3.26
Pb3 0.5000 0.5000 0.5000  2 Y 3.22, 4 Pr 3.22-3.23
Pb4 0.8360 0.8360 0.6627  1 Y 3.16, 5 Pr 3.21-3.26
Pb5 0.8371 0.8371 0.1697  1 Y 3.16, 5 Pr 3.19-3.26

Output
total magnetic moment = 0.542 Bohr magnetons per cell
energy of formation from the pure elements = -336 meV per atom
space group = C2/m, No. 12

---

[2]
# PrY2Pb

A relaxed PrY2Pb crystal (GGA-PBE, Alexandria via LeMat-Bulk).

a b c (Å): 4.9695 4.9695 4.8694
angles (deg): 90.00 90.00 90.00
Last column: nearest neighbours and their distance in Å.
Atoms (fractional coordinates):
Pr1 0.0000 0.0000 0.0000  8 Y 3.48, 4 Pb 3.51
Y1 0.0000 0.5000 0.5000  4 Pb 3.48, 4 Pr 3.48, 4 Y 3.51
Y2 0.5000 0.0000 0.5000  4 Pb 3.48, 4 Pr 3.48, 4 Y 3.51
Pb1 0.5000 0.5000 0.0000  8 Y 3.48, 4 Pr 3.51

Output
total magnetic moment = 0.396 Bohr magnetons per cell
energy of formation from the pure elements = -300 meV per atom
space group = P4/mmm, No. 123

---

[3]
# PrY2Pb

A relaxed PrY2Pb crystal (GGA-PBE, Alexandria via LeMat-Bulk).

a b c (Å): 11.3076 11.3076 11.3076
angles (deg): 18.56 18.56 18.56
Last column: nearest neighbours and their distance in Å.
Atoms (fractional coordinates):
Pr1 0.0000 0.0000 0.0000  6 Y 3.63-3.64, 6 Pr 3.65
Y1 0.2444 0.2444 0.2444  3 Pb 3.34, 3 Pr 3.64, 6 Y 3.65
Y2 0.4220 0.4220 0.4220  3 Pb 3.35, 3 Pr 3.63, 6 Y 3.65
Pb1 0.8334 0.8334 0.8334  6 Y 3.34-3.35, 6 Pb 3.65

Output
total magnetic moment = 0.000 Bohr magnetons per cell
energy of formation from the pure elements = -166 meV per atom
space group = R3m, No. 160

---

[4]
# PrY2Pb

A relaxed PrY2Pb crystal (GGA-PBE, Alexandria via LeMat-Bulk).

a b c (Å): 12.3253 12.3253 12.3253
angles (deg): 16.74 16.74 16.74
Last column: nearest neighbours and their distance in Å.
Atoms (fractional coordinates):
Pr1 0.0000 0.0000 0.0000  6 Y 3.57, 6 Pr 3.59
Y1 0.4132 0.4132 0.4132  1 Pb 3.16
Y2 0.5868 0.5868 0.5868  1 Pb 3.16
Pb1 0.5000 0.5000 0.5000  2 Y 3.16

Output
total magnetic moment = 0.000 Bohr magnetons per cell
energy of formation from the pure elements = 46 meV per atom
space group = R-3m, No. 166

---

[5]
# PrY5Pb4

A relaxed PrY5Pb4 crystal (GGA-PBE, Alexandria via LeMat-Bulk).

a b c (Å): 9.3620 9.3620 8.0505
angles (deg): 102.24 102.24 28.48
Last column: nearest neighbours and their distance in Å.
Atoms (fractional coordinates):
Pr1 0.0000 0.0000 0.0000  6 Pb 3.22-3.34
Y1 0.0000 0.0000 0.5000  4 Pb 3.05
Y2 0.2921 0.2921 0.6884  3 Pb 3.03-3.27
Y3 0.3605 0.3605 0.2710  4 Pb 3.21-3.38
Y4 0.6395 0.6395 0.7290  4 Pb 3.21-3.38
Y5 0.7079 0.7079 0.3116  3 Pb 3.03-3.27
Pb1 0.1856 0.1856 0.0166  6 Y 3.24-3.60, 2 Pb 3.33, 1 Pr 3.34
Pb2 0.4612 0.4612 0.7144  4 Y 3.03-3.21, 2 Pr 3.22
Pb3 0.5388 0.5388 0.2856  4 Y 3.03-3.21, 2 Pr 3.22
Pb4 0.8144 0.8144 0.9834  6 Y 3.24-3.60, 2 Pb 3.33, 1 Pr 3.34

Output
total magnetic moment = 0.466 Bohr magnetons per cell
energy of formation from the pure elements = -281 meV per atom
space group = C2/m, No. 12

---

[6]
# Pr8Y6Pb

A relaxed Pr8Y6Pb crystal (GGA-PBE, Alexandria via LeMat-Bulk).

a b c (Å): 9.4167 9.4167 6.7013
angles (deg): 90.00 90.00 120.00
Last column: nearest neighbours and their distance in Å.
Atoms (fractional coordinates):
Pr1 0.0426 0.7680 0.3251  1 Pb 3.25, 3 Pr 3.33-3.36, 2 Y 3.37-3.54
Pr2 0.2320 0.2746 0.3251  1 Pb 3.25, 3 Pr 3.33-3.36, 2 Y 3.37-3.54
Pr3 0.2746 0.0426 0.6749  1 Pb 3.25, 3 Pr 3.33-3.36, 2 Y 3.37-3.54
Pr4 0.3333 0.6667 0.3610  3 Pr 3.33
Pr5 0.6667 0.3333 0.6390  3 Pr 3.33
Pr6 0.7254 0.9574 0.3251  1 Pb 3.25, 3 Pr 3.33-3.36, 2 Y 3.37-3.54
Pr7 0.7680 0.7254 0.6749  1 Pb 3.25, 3 Pr 3.33-3.36, 2 Y 3.37-3.54
Pr8 0.9574 0.2320 0.6749  1 Pb 3.25, 3 Pr 3.33-3.36, 2 Y 3.37-3.54
Y1 0.0984 0.6537 0.8409  1 Y 3.32, 4 Pr 3.37-3.67
Y2 0.3463 0.4447 0.8409  1 Y 3.32, 4 Pr 3.37-3.67
Y3 0.4447 0.0984 0.1591  1 Y 3.32, 4 Pr 3.37-3.67
Y4 0.5553 0.9016 0.8409  1 Y 3.32, 4 Pr 3.37-3.67
Y5 0.6537 0.5553 0.1591  1 Y 3.32, 4 Pr 3.37-3.67
Y6 0.9016 0.3463 0.1591  1 Y 3.32, 4 Pr 3.37-3.67
Pb1 0.0000 0.0000 0.0000  6 Pr 3.25

Output
total magnetic moment = 0.000 Bohr magnetons per cell
energy of formation from the pure elements = 54 meV per atom
space group = P-3, No. 147

---

[7]
# PrYZnPb

A relaxed PrYZnPb crystal (GGA-PBE, Alexandria via LeMat-Bulk).

a b c (Å): 5.3520 5.3520 5.3520
angles (deg): 60.00 60.00 60.00
Last column: nearest neighbours and their distance in Å.
Atoms (fractional coordinates):
Pr1 0.0000 0.0000 0.0000  4 Pb 3.28, 4 Zn 3.28
Y1 0.5000 0.5000 0.5000  4 Pb 3.28, 4 Zn 3.28
Zn1 0.2500 0.2500 0.2500  4 Pr 3.28, 4 Y 3.28
Pb1 0.7500 0.7500 0.7500  4 Pr 3.28, 4 Y 3.28

Output
total magnetic moment = 0.000 Bohr magnetons per cell
energy of formation from the pure elements = -399 meV per atom
space group = F-43m, No. 216

---

[8]
# PrZn2Pb

A relaxed PrZn2Pb crystal (GGA-PBE, Alexandria via LeMat-Bulk).

a b c (Å): 4.5582 4.5582 4.5780
angles (deg): 90.00 90.00 90.00
Last column: nearest neighbours and their distance in Å.
Atoms (fractional coordinates):
Pr1 0.0000 0.0000 0.0000  4 Pb 3.22, 8 Zn 3.23
Zn1 0.0000 0.5000 0.5000  4 Zn 3.22, 4 Pb 3.23, 4 Pr 3.23
Zn2 0.5000 0.0000 0.5000  4 Zn 3.22, 4 Pb 3.23, 4 Pr 3.23
Pb1 0.5000 0.5000 0.0000  4 Pr 3.22, 8 Zn 3.23

Output
total magnetic moment = 0.000 Bohr magnetons per cell
energy of formation from the pure elements = -273 meV per atom
space group = P4/mmm, No. 123

---

Question: Among the records above, which one has the highest total magnetic moment?
Answer: Pr5YPb5